The following is a meta-GGA SCAN calculation of TlZnIn3 at its PBEsol-relaxed geometry, from Alexandria via LeMat-Bulk.

Lattice parameters (Å, degrees): 5.6595 5.6595 5.6595 90.00 90.00 90.00
Fractional coordinates of all 5 atoms:
Tl 0.0000 0.0000 0.0000
Zn 0.5000 0.5000 0.5000
In 0.0000 0.0000 0.5000
In 0.0000 0.5000 0.0000
In 0.5000 0.0000 0.0000

Values from the calculation:
- N(E_F): 2.8 states/eV/cell
- Energy of formation from the pure elements: 0.6610 eV/atom

***

The following is a meta-GGA SCAN calculation of TlZn3In at its PBEsol-relaxed geometry, from Alexandria via LeMat-Bulk.

Lattice parameters (Å, degrees): 5.0974 5.0974 5.0974 90.00 90.00 90.00
Fractional coordinates of all 5 atoms:
Tl 0.0000 0.0000 0.0000
Zn 0.0000 0.0000 0.5000
Zn 0.0000 0.5000 0.0000
Zn 0.5000 0.0000 0.0000
In 0.5000 0.5000 0.5000

Values from the calculation:
- N(E_F): 2.7 states/eV/cell
- Energy of formation from the pure elements: 0.6034 eV/atom

***

The following is a meta-GGA SCAN calculation of TlZn2In at its PBEsol-relaxed geometry, from Alexandria via LeMat-Bulk.

Lattice parameters (Å, degrees): 3.2135 3.2135 8.0013 90.00 90.00 90.00
Fractional coordinates of all 4 atoms:
Tl 0.0000 0.0000 0.0000
Zn 0.0000 0.0000 0.4299
Zn 0.5000 0.5000 0.2671
In 0.5000 0.5000 0.6763

Values from the calculation:
- N(E_F): 1.7 states/eV/cell
- Energy of formation from the pure elements: 0.1674 eV/atom